Entry 1:
Here is a relaxed structure of Ac3MnS6 from the Alexandria database. Energies are from PBE.

Cell and atoms, written as POSCAR:
```
Ac3MnS6
1.0
-4.132 -5.385 -4.696
7.220 -0.293 -3.988
1.900 -5.100 6.205
S Ac Mn
12 6 2
Direct
0.437 0.197 0.572 S
0.026 0.943 0.707 S
0.974 0.057 0.293 S
0.197 0.572 0.437 S
0.572 0.437 0.197 S
0.707 0.026 0.943 S
0.803 0.428 0.563 S
0.428 0.563 0.803 S
0.293 0.974 0.057 S
0.563 0.803 0.428 S
0.057 0.293 0.974 S
0.943 0.707 0.026 S
0.621 0.117 0.290 Ac
0.379 0.883 0.710 Ac
0.710 0.379 0.883 Ac
0.290 0.621 0.117 Ac
0.883 0.710 0.379 Ac
0.117 0.290 0.621 Ac
0.000 0.000 0.000 Mn
0.500 0.500 0.500 Mn
```

## Properties
The space-group type is No. 148. The calculation puts the offset from the most stable computed form at 42 meV per atom. The total magnetization is 4.0 μB per formula unit. For the total energy, the calculation gives -126.41 eV per cell. The formation energy (no corrections) comes out at -1.694 eV per atom. The density of states at the Fermi level comes out at 1.09 states/eV/f.u.


Entry 2:
Here is a relaxed structure of Na2CaCdH from the Alexandria database. Energies are from PBE.

Cell and atoms, written as POSCAR:
```
Na2CaCdH
1.0
4.865 0.000 0.000
0.000 4.865 0.000
0.000 0.000 4.886
H Na Cd Ca
1 2 1 1
Direct
0.000 0.000 0.000 H
0.500 0.000 0.000 Na
0.000 0.500 0.000 Na
0.500 0.500 0.500 Cd
0.000 0.000 0.500 Ca
```

## Properties
The space-group type is No. 123. The total magnetization is 0.0 μB per formula unit. For the total energy, the calculation gives -9.69 eV per cell. The density of states at the Fermi level comes out at 1.21 states/eV/f.u.